No. 1
The following is a DFT calculation (PBE) of ScTiGePb2 after structural relaxation.

DOS(E_F)   1.120 states/eV per atom
Energy of formation from the pure elements   3.28 eV/f.u.

abc: 5.472 5.472 5.035
angles: 90.00 90.00 90.00
Space group P4/mmm (No. 123)
Asymmetric unit:
Sc 0.000 0.000 0.000 (multiplicity 1)
Ti 0.500 0.500 0.000 (multiplicity 1)
Ge 0.000 0.000 0.500 (multiplicity 1)
Pb 0.000 0.500 0.500 (multiplicity 2)



No. 2
The following is a DFT calculation (PBE) of LiAcEr2Tl4 after structural relaxation.

DOS(E_F)   0.655 states/eV per atom
Energy of formation from the pure elements   -2.28 eV/f.u.

abc: 5.2694 5.2694 28.3321
angles: 90.00 90.00 120.00
Space group R-3m (No. 166, hexagonal axes)
Asymmetric unit:
Li 0.0000 0.0000 0.0000 (multiplicity 3)
Ac 0.0000 0.0000 0.5000 (multiplicity 3)
Er 0.0000 0.0000 0.2592 (multiplicity 6)
Tl 0.0000 0.0000 0.1123 (multiplicity 6)
Tl 0.0000 0.0000 0.3700 (multiplicity 6)



No. 3
The following is a DFT calculation (PBE) of TbHoPuAl after structural relaxation.

DOS(E_F)   2.011 states/eV per atom
Energy of formation from the pure elements   0.12 eV/f.u.

abc: 7.497 7.497 7.497
angles: 90.00 90.00 90.00
Space group F-43m (No. 216)
Asymmetric unit:
Tb 0.000 0.000 0.000 (multiplicity 4)
Ho 0.250 0.250 0.250 (multiplicity 4)
Pu 0.000 0.000 0.500 (multiplicity 4)
Al 0.250 0.250 0.750 (multiplicity 4)



No. 4
The following is a DFT calculation (PBE) of KCrC3 after structural relaxation.

DOS(E_F)   0.492 states/eV per atom
Energy of formation from the pure elements   7.58 eV/f.u.

abc: 3.931 3.931 3.931
angles: 90.00 90.00 90.00
Space group Pm-3m (No. 221)
Asymmetric unit:
K 0.000 0.000 0.000 (multiplicity 1)
Cr 0.500 0.500 0.500 (multiplicity 1)
C 0.000 0.500 0.500 (multiplicity 3)



No. 5
The following is a DFT calculation (PBE) of Nd6Ru2Br3Cl after structural relaxation.

DFT total energy   -132.26 eV per cell
DOS(E_F)   0.187 states/eV per atom

abc: 7.244 12.543 8.138
angles: 90.00 107.09 90.00
Space group C2/m (No. 12)
Asymmetric unit:
Nd 0.205 0.000 0.199 (multiplicity 4)
Nd 0.247 0.319 0.200 (multiplicity 8)
Ru 0.000 0.167 0.000 (multiplicity 4)
Br 0.000 0.000 0.500 (multiplicity 2)
Br 0.000 0.336 0.500 (multiplicity 4)
Cl 0.000 0.500 0.000 (multiplicity 2)



No. 6
The following is a DFT calculation (PBE) of Sr3SnAs3 after structural relaxation.

DOS(E_F)   0.168 states/eV per atom
Energy of formation from the pure elements   -6.45 eV/f.u.

abc: 12.776 4.818 13.983
angles: 90.00 90.00 90.00
Space group Pnma (No. 62)
Asymmetric unit:
Sr 0.061 0.250 0.108 (multiplicity 4)
Sr 0.149 0.750 0.496 (multiplicity 4)
Sr 0.223 0.750 0.786 (multiplicity 4)
Sn 0.052 0.250 0.694 (multiplicity 4)
As 0.038 0.250 0.348 (multiplicity 4)
As 0.107 0.250 0.886 (multiplicity 4)
As 0.250 0.250 0.617 (multiplicity 4)



No. 7
The following is a DFT calculation (PBE) of YWN3 after structural relaxation.

DFT total energy   -96.87 eV per cell
DOS(E_F)   0.000 states/eV per atom

abc: 3.460 5.729 7.761
angles: 81.32 85.76 89.08
Space group P1 (No. 1)
Asymmetric unit:
Y 0.000 0.000 0.000 (multiplicity 1)
Y 0.438 0.386 0.357 (multiplicity 1)
W 0.496 0.544 0.941 (multiplicity 1)
W 0.842 0.870 0.593 (multiplicity 1)
N 0.010 0.591 0.827 (multiplicity 1)
N 0.442 0.715 0.516 (multiplicity 1)
N 0.470 0.719 0.122 (multiplicity 1)
N 0.482 0.250 0.074 (multiplicity 1)
N 0.563 0.982 0.779 (multiplicity 1)
N 0.932 0.152 0.434 (multiplicity 1)



No. 8
The following is a DFT calculation (PBE) of Hf4VHg2 after structural relaxation.

DOS(E_F)   1.373 states/eV per atom
Energy of formation from the pure elements   4.25 eV/f.u.

abc: 4.662 4.662 15.011
angles: 90.00 90.00 90.00
Space group I4/mmm (No. 139)
Asymmetric unit:
Hf 0.000 0.000 0.177 (multiplicity 4)
Hf 0.000 0.500 0.000 (multiplicity 4)
V 0.000 0.000 0.000 (multiplicity 2)
Hg 0.000 0.000 0.364 (multiplicity 4)



No. 9
The following is a DFT calculation (PBE) of Sc2InBr after structural relaxation.

DFT total energy   -69.53 eV per cell
DOS(E_F)   0.324 states/eV per atom

abc: 5.812 5.812 14.771
angles: 90.00 90.00 90.00
Space group I-42d (No. 122)
Asymmetric unit:
Sc 0.238 0.250 0.125 (multiplicity 8)
In 0.000 0.000 0.500 (multiplicity 4)
Br 0.000 0.000 0.000 (multiplicity 4)



No. 10
The following is a DFT calculation (PBE) of ZnInCl3 after structural relaxation.

DFT total energy   -29.22 eV per cell
DOS(E_F)   0.000 states/eV per atom

abc: 6.934 7.276 7.349
angles: 84.20 63.53 74.88
Space group P1 (No. 1)
Asymmetric unit:
Zn 0.000 0.000 0.000 (multiplicity 1)
Zn 0.026 0.777 0.398 (multiplicity 1)
In 0.308 0.202 0.391 (multiplicity 1)
In 0.718 0.577 0.008 (multiplicity 1)
Cl 0.192 0.695 0.043 (multiplicity 1)
Cl 0.193 0.215 0.829 (multiplicity 1)
Cl 0.306 0.798 0.468 (multiplicity 1)
Cl 0.721 0.980 0.930 (multiplicity 1)
Cl 0.834 0.082 0.356 (multiplicity 1)
Cl 0.834 0.563 0.569 (multiplicity 1)



No. 11
The following is a DFT calculation (PBE) of Ca6InGa2 after structural relaxation.

DOS(E_F)   0.964 states/eV per atom
Energy of formation from the pure elements   -3.08 eV/f.u.

abc: 10.037 10.203 11.147
angles: 90.00 90.00 90.00
Space group Immm (No. 71)
Asymmetric unit:
Ca 0.000 0.192 0.249 (multiplicity 8)
Ca 0.189 0.500 0.165 (multiplicity 8)
Ca 0.221 0.319 0.500 (multiplicity 8)
In 0.000 0.000 0.000 (multiplicity 2)
In 0.000 0.000 0.500 (multiplicity 2)
Ga 0.000 0.326 0.000 (multiplicity 4)
Ga 0.000 0.500 0.384 (multiplicity 4)



No. 12
The following is a DFT calculation (PBE) of Fe4Si2B after structural relaxation.

DFT total energy   -104.05 eV per cell
DOS(E_F)   0.515 states/eV per atom

abc: 3.691 3.691 11.588
angles: 90.00 90.00 90.00
Space group I4/mmm (No. 139)
Asymmetric unit:
Fe 0.000 0.000 0.175 (multiplicity 4)
Fe 0.000 0.500 0.000 (multiplicity 4)
Si 0.000 0.000 0.369 (multiplicity 4)
B 0.000 0.000 0.000 (multiplicity 2)